[1]
The following is a DFT calculation (PBE) of TlGaO2 after structural relaxation.

The uncorrected formation energy comes out at -31.07 kcal/mol of atoms. The total DFT energy (no corrections) is -5.175 eV/atom. As for the density of states at the Fermi level: 0.000 states/eV/cell. As for the space-group type: Cm.

Cell: 8.686 8.686 5.123 Å, 93.77 93.77 20.65°
Sites, in units of the cell vectors:
Tl  0.000  0.000  0.000
Tl  0.657  0.657  0.534
Ga  0.338  0.338  0.471
Ga  0.819  0.819  0.964
O  0.263  0.263  0.773
O  0.390  0.390  0.140
O  0.772  0.772  0.296
O  0.890  0.890  0.666

=====

[2]
The following is a DFT calculation (PBE) of LiCaMn2 after structural relaxation.

The total DFT energy (no corrections) is -4.728 eV/atom. The energy relative to the elements is 0.835 eV per atom. As for the density of states at the Fermi level: 6.337 states/eV/cell. As for the space-group type: I-42d.

Cell: 9.848 9.848 9.848 Å, 154.65 154.65 36.16°
Sites, in units of the cell vectors:
Li  0.000  0.000  0.000
Li  0.750  0.250  0.500
Ca  0.250  0.750  0.500
Ca  0.500  0.500  0.000
Mn  0.375  0.098  0.224
Mn  0.848  0.625  0.724
Mn  0.875  0.152  0.776
Mn  0.902  0.125  0.276

=====

[3]
The following is a DFT calculation (PBE) of Ca4AcIn4 after structural relaxation.

The total DFT energy (no corrections) is -2.762 eV/atom. The energy relative to the elements is -0.199 eV per atom. As for the density of states at the Fermi level: 16.742 states/eV/cell. As for the space-group type: P4_2/n.

Cell: 10.280 10.280 6.398 Å, 90.00 90.00 90.00°
Sites, in units of the cell vectors:
Ca  0.090  0.649  0.130
Ca  0.149  0.910  0.630
Ca  0.351  0.590  0.630
Ca  0.410  0.851  0.130
Ca  0.590  0.149  0.870
Ca  0.649  0.410  0.370
Ca  0.851  0.090  0.370
Ca  0.910  0.351  0.870
Ac  0.250  0.250  0.250
Ac  0.750  0.750  0.750
In  0.035  0.607  0.633
In  0.107  0.965  0.133
In  0.393  0.535  0.133
In  0.465  0.893  0.633
In  0.535  0.107  0.367
In  0.607  0.465  0.867
In  0.893  0.035  0.867
In  0.965  0.393  0.367

=====

[4]
The following is a DFT calculation (PBE) of La7Pm2Mg2 after structural relaxation.

The total DFT energy (no corrections) is -4.216 eV/atom. The energy relative to the elements is 0.073 eV per atom. As for the density of states at the Fermi level: 14.512 states/eV/cell. As for the space-group type: C2/m.

Cell: 8.036 8.036 6.264 Å, 104.68 104.68 94.43°
Sites, in units of the cell vectors:
La  0.000  0.000  0.000
La  0.070  0.575  0.829
La  0.415  0.415  0.203
La  0.425  0.930  0.171
La  0.575  0.070  0.829
La  0.585  0.585  0.797
La  0.930  0.425  0.171
Pm  0.204  0.204  0.589
Pm  0.796  0.796  0.411
Mg  0.229  0.771  0.500
Mg  0.771  0.229  0.500

=====

[5]
The following is a DFT calculation (PBE) of CdGeBiH after structural relaxation.

The total DFT energy (no corrections) is -2.907 eV/atom. As for the density of states at the Fermi level: 1.096 states/eV/cell. As for the space-group type: P1.

Cell: 3.261 4.353 6.682 Å, 103.72 93.65 107.89°
Sites, in units of the cell vectors:
Cd  0.000  0.000  0.000
Ge  0.731  0.516  0.243
Bi  0.622  0.164  0.556
H  0.870  0.621  0.767

=====

[6]
The following is a DFT calculation (PBE) of Pm2Sm3Bi3 after structural relaxation.

The total DFT energy (no corrections) is -5.174 eV/atom. The energy relative to the elements is -0.761 eV per atom. As for the density of states at the Fermi level: 15.520 states/eV/cell. As for the space-group type: P6_3/mcm.

Cell: 9.420 9.420 6.525 Å, 90.00 90.00 120.00°
Sites, in units of the cell vectors:
Pm  0.333  0.667  0.000
Pm  0.333  0.667  0.500
Pm  0.667  0.333  0.000
Pm  0.667  0.333  0.500
Sm  0.000  0.246  0.250
Sm  0.000  0.754  0.750
Sm  0.246  0.000  0.250
Sm  0.246  0.246  0.750
Sm  0.754  0.000  0.750
Sm  0.754  0.754  0.250
Bi  0.000  0.387  0.750
Bi  0.000  0.613  0.250
Bi  0.387  0.000  0.750
Bi  0.387  0.387  0.250
Bi  0.613  0.000  0.250
Bi  0.613  0.613  0.750

=====

[7]
The following is a DFT calculation (PBE) of Hf2SnHg after structural relaxation.

The total DFT energy (no corrections) is -6.097 eV/atom. The energy relative to the elements is -0.044 eV per atom. As for the density of states at the Fermi level: 3.971 states/eV/cell. As for the space-group type: R3m.

Cell: 10.197 10.197 10.197 Å, 18.03 18.03 18.03°
Sites, in units of the cell vectors:
Hf  0.000  0.000  0.000
Hf  0.167  0.167  0.167
Sn  0.583  0.583  0.583
Hg  0.417  0.417  0.417

=====

[8]
The following is a DFT calculation (PBE) of Ce7BBr12 after structural relaxation.

The uncorrected formation energy comes out at -34.53 kcal/mol of atoms. The total DFT energy (no corrections) is -4.912 eV/atom. As for the density of states at the Fermi level: 47.897 states/eV/cell. As for the space-group type: R-3.

Cell: 9.368 9.368 9.368 Å, 107.61 107.61 107.61°
Sites, in units of the cell vectors:
Ce  0.000  0.000  0.000
Ce  0.187  0.389  0.466
Ce  0.389  0.466  0.187
Ce  0.466  0.187  0.389
Ce  0.534  0.813  0.611
Ce  0.611  0.534  0.813
Ce  0.813  0.611  0.534
B  0.500  0.500  0.500
Br  0.026  0.345  0.113
Br  0.113  0.026  0.345
Br  0.184  0.723  0.575
Br  0.277  0.425  0.816
Br  0.345  0.113  0.026
Br  0.425  0.816  0.277
Br  0.575  0.184  0.723
Br  0.655  0.887  0.974
Br  0.723  0.575  0.184
Br  0.816  0.277  0.425
Br  0.887  0.974  0.655
Br  0.974  0.655  0.887

=====

[9]
The following is a DFT calculation (PBE) of ReRhI2 after structural relaxation.

The uncorrected formation energy comes out at 28.53 kcal/mol of atoms. The total DFT energy (no corrections) is -4.488 eV/atom. As for the density of states at the Fermi level: 5.000 states/eV/cell. As for the space-group type: Fm-3m.

Cell: 4.801 4.801 4.801 Å, 60.00 60.00 60.00°
Sites, in units of the cell vectors:
Re  0.000  0.000  0.000
Rh  0.500  0.500  0.500
I  0.250  0.250  0.250
I  0.750  0.750  0.750

=====

[10]
The following is a DFT calculation (PBE) of KCaN2F after structural relaxation.

The uncorrected formation energy comes out at -4.25 kcal/mol of atoms. The total DFT energy (no corrections) is -4.509 eV/atom. As for the density of states at the Fermi level: 2.091 states/eV/cell. As for the space-group type: P4/mmm.

Cell: 4.827 4.827 4.460 Å, 90.00 90.00 90.00°
Sites, in units of the cell vectors:
K  0.000  0.000  0.000
Ca  0.500  0.500  0.500
N  0.000  0.500  0.500
N  0.500  0.000  0.500
F  0.500  0.500  0.000

=====

[11]
The following is a DFT calculation (PBE) of K2RbAgBi after structural relaxation.

The total DFT energy (no corrections) is -2.072 eV/atom. The energy relative to the elements is -0.093 eV per atom. As for the density of states at the Fermi level: 2.433 states/eV/cell. As for the space-group type: P4/mmm.

Cell: 6.498 6.498 5.607 Å, 90.00 90.00 90.00°
Sites, in units of the cell vectors:
K  0.000  0.500  0.000
K  0.500  0.000  0.000
Rb  0.000  0.000  0.500
Ag  0.500  0.500  0.000
Bi  0.500  0.500  0.500

=====

[12]
The following is a DFT calculation (PBE) of VPbSe after structural relaxation.

The uncorrected formation energy comes out at -1.95 kcal/mol of atoms. The total DFT energy (no corrections) is -5.522 eV/atom. As for the density of states at the Fermi level: 8.062 states/eV/cell. As for the space-group type: P2_1/c.

Cell: 6.897 5.821 8.908 Å, 90.00 127.00 90.00°
Sites, in units of the cell vectors:
V  0.089  0.243  0.106
V  0.089  0.257  0.606
V  0.911  0.743  0.394
V  0.911  0.757  0.894
Pb  0.414  0.581  0.129
Pb  0.414  0.919  0.629
Pb  0.586  0.081  0.371
Pb  0.586  0.419  0.871
Se  0.136  0.064  0.876
Se  0.136  0.436  0.376
Se  0.864  0.564  0.624
Se  0.864  0.936  0.124

=====

[13]
The following is a DFT calculation (PBE) of MgTiAlTc after structural relaxation.

The total DFT energy (no corrections) is -6.080 eV/atom. The energy relative to the elements is -0.181 eV per atom. As for the density of states at the Fermi level: 3.454 states/eV/cell. As for the space-group type: F-43m.

Cell: 4.469 4.469 4.469 Å, 60.00 60.00 60.00°
Sites, in units of the cell vectors:
Mg  0.000  0.000  0.000
Ti  0.250  0.250  0.250
Al  0.750  0.750  0.750
Tc  0.500  0.500  0.500

=====

[14]
The following is a DFT calculation (PBE) of Be2NiHPd after structural relaxation.

The total DFT energy (no corrections) is -4.619 eV/atom. As for the density of states at the Fermi level: 2.257 states/eV/cell. As for the space-group type: P4/mmm.

Cell: 3.748 3.748 3.149 Å, 90.00 90.00 90.00°
Sites, in units of the cell vectors:
Be  0.000  0.500  0.000
Be  0.500  0.000  0.000
Ni  0.000  0.000  0.500
H  0.000  0.000  0.000
Pd  0.500  0.500  0.500

=====

[15]
The following is a DFT calculation (PBE) of LiSiAs3 after structural relaxation.

The uncorrected formation energy comes out at 9.55 kcal/mol of atoms. The total DFT energy (no corrections) is -3.843 eV/atom. As for the density of states at the Fermi level: 3.456 states/eV/cell. As for the space-group type: Pm-3m.

Cell: 4.838 4.838 4.838 Å, 90.00 90.00 90.00°
Sites, in units of the cell vectors:
Li  0.000  0.000  0.000
Si  0.500  0.500  0.500
As  0.000  0.500  0.500
As  0.500  0.000  0.500
As  0.500  0.500  0.000

=====

[16]
The following is a DFT calculation (PBE) of Rb3Sm3OsO8 after structural relaxation.

The uncorrected formation energy comes out at -51.08 kcal/mol of atoms. The total DFT energy (no corrections) is -6.745 eV/atom. As for the density of states at the Fermi level: 4.721 states/eV/cell. As for the space-group type: R-3m.

Cell: 7.724 7.724 7.724 Å, 53.73 53.73 53.73°
Sites, in units of the cell vectors:
Rb  0.000  0.500  0.500
Rb  0.500  0.000  0.500
Rb  0.500  0.500  0.000
Sm  0.000  0.000  0.500
Sm  0.000  0.500  0.000
Sm  0.500  0.000  0.000
Os  0.500  0.500  0.500
O  0.226  0.226  0.226
O  0.254  0.705  0.705
O  0.295  0.295  0.746
O  0.295  0.746  0.295
O  0.705  0.254  0.705
O  0.705  0.705  0.254
O  0.746  0.295  0.295
O  0.774  0.774  0.774

=====

[17]
The following is a DFT calculation (PBE) of KTl3In after structural relaxation.

The total DFT energy (no corrections) is -1.546 eV/atom. The energy relative to the elements is 0.641 eV per atom. As for the density of states at the Fermi level: 5.860 states/eV/cell. As for the space-group type: Pm-3m.

Cell: 6.120 6.120 6.120 Å, 90.00 90.00 90.00°
Sites, in units of the cell vectors:
K  0.000  0.000  0.000
Tl  0.000  0.000  0.500
Tl  0.000  0.500  0.000
Tl  0.500  0.000  0.000
In  0.500  0.500  0.500

=====

[18]
The following is a DFT calculation (PBE) of Tm4TeAs2P after structural relaxation.

The uncorrected formation energy comes out at -34.10 kcal/mol of atoms. The total DFT energy (no corrections) is -5.946 eV/atom. As for the density of states at the Fermi level: 1.267 states/eV/cell. As for the space-group type: P2/m.

Cell: 7.079 4.084 7.119 Å, 90.00 109.24 90.00°
Sites, in units of the cell vectors:
Tm  0.236  0.000  0.229
Tm  0.247  0.500  0.764
Tm  0.753  0.500  0.236
Tm  0.764  0.000  0.771
Te  0.500  0.500  0.500
As  0.000  0.000  0.500
As  0.000  0.500  0.000
P  0.500  0.000  0.000

=====

[19]
The following is a DFT calculation (PBE) of TePt2W after structural relaxation.

The uncorrected formation energy comes out at 9.06 kcal/mol of atoms. The total DFT energy (no corrections) is -6.651 eV/atom. As for the density of states at the Fermi level: 3.343 states/eV/cell. As for the space-group type: P4/mmm.

Cell: 3.958 3.958 4.414 Å, 90.00 90.00 90.00°
Sites, in units of the cell vectors:
Te  0.000  0.000  0.000
Pt  0.000  0.500  0.500
Pt  0.500  0.000  0.500
W  0.500  0.500  0.000

=====

[20]
The following is a DFT calculation (PBE) of AlCu3Bi after structural relaxation.

The total DFT energy (no corrections) is -3.483 eV/atom. The energy relative to the elements is 0.500 eV per atom. As for the density of states at the Fermi level: 1.787 states/eV/cell. As for the space-group type: Pm-3m.

Cell: 4.576 4.576 4.576 Å, 90.00 90.00 90.00°
Sites, in units of the cell vectors:
Al  0.000  0.000  0.000
Cu  0.000  0.000  0.500
Cu  0.000  0.500  0.000
Cu  0.500  0.000  0.000
Bi  0.500  0.500  0.500

=====

[21]
The following is a DFT calculation (PBE) of PrSmI after structural relaxation.

The uncorrected formation energy comes out at -12.73 kcal/mol of atoms. The total DFT energy (no corrections) is -4.235 eV/atom. As for the density of states at the Fermi level: 3.635 states/eV/cell. As for the space-group type: P3m1.

Cell: 3.932 3.932 7.861 Å, 90.00 90.00 120.00°
Sites, in units of the cell vectors:
Pr  0.000  0.000  0.000
Sm  0.333  0.667  0.644
I  0.667  0.333  0.330

=====

[22]
The following is a DFT calculation (PBE) of Sc4BiC after structural relaxation.

The total DFT energy (no corrections) is -6.819 eV/atom. The energy relative to the elements is -0.414 eV per atom. As for the density of states at the Fermi level: 14.656 states/eV/cell. As for the space-group type: C2/c.

Cell: 7.608 7.608 6.624 Å, 104.52 104.52 43.36°
Sites, in units of the cell vectors:
Sc  0.026  0.181  0.437
Sc  0.181  0.026  0.937
Sc  0.249  0.357  0.818
Sc  0.357  0.249  0.318
Sc  0.643  0.751  0.682
Sc  0.751  0.643  0.182
Sc  0.819  0.974  0.063
Sc  0.974  0.819  0.563
Bi  0.389  0.611  0.250
Bi  0.611  0.389  0.750
C  0.000  0.500  0.500
C  0.500  0.000  0.000

=====

[23]
The following is a DFT calculation (PBE) of Sm2ThSc after structural relaxation.

The total DFT energy (no corrections) is -5.763 eV/atom. The energy relative to the elements is 0.034 eV per atom. As for the density of states at the Fermi level: 11.743 states/eV/cell. As for the space-group type: P-1.

Cell: 3.554 6.101 12.119 Å, 99.83 90.02 106.92°
Sites, in units of the cell vectors:
Sm  0.122  0.244  0.431
Sm  0.365  0.730  0.304
Sm  0.635  0.270  0.696
Sm  0.878  0.756  0.569
Th  0.124  0.249  0.943
Th  0.876  0.751  0.057
Sc  0.381  0.761  0.821
Sc  0.619  0.239  0.179

=====

[24]
The following is a DFT calculation (PBE) of YZn2RuSe after structural relaxation.

The uncorrected formation energy comes out at 25.18 kcal/mol of atoms. The total DFT energy (no corrections) is -3.263 eV/atom. As for the density of states at the Fermi level: 5.245 states/eV/cell. As for the space-group type: P4/mmm.

Cell: 5.502 5.502 5.232 Å, 90.00 90.00 90.00°
Sites, in units of the cell vectors:
Y  0.000  0.000  0.000
Zn  0.000  0.500  0.000
Zn  0.500  0.000  0.000
Ru  0.500  0.500  0.500
Se  0.000  0.000  0.500